MgRuSe | Alexandria | SCAN | single point on PBEsol structure; energy relative to the elements, uncorrected = 0.11 eV/atom; electronic total energy = -19.853 eV/atom; M_tot = 1.6 μB per formula unit
1.0
-3.6228 -1.7208 -1.2251
-2.8460 -1.1521 2.8565
-3.5787 2.1528 0.3811
Mg Ru Se
1 1 1
direct
0.0000 0.0000 0.0000 Mg
0.5000 0.5000 0.5000 Ru
0.2500 0.2500 0.2500 Se